# 1
VASP calculation (GGA-PBE) on Zr4AsH after structural relaxation.

Structure (POSCAR):
```
Zr4AsH
1.0
-0.0058 -4.7363 -3.7354
4.7871 -2.0483 3.0080
-6.2064 0.2794 4.3167
Zr H As
8 2 2
Cartesian
-2.2756 -0.9435 1.0836 Zr
-0.7709 -3.9077 0.2017 Zr
0.8053 -5.0283 -2.2467 Zr
3.2652 -4.7019 0.3848 Zr
-4.6903 -1.8033 3.2044 Zr
0.8504 -5.5617 2.5056 Zr
-2.2305 -1.4769 5.8359 Zr
-0.6542 -2.5975 3.3875 Zr
-1.0389 -4.3962 -1.7298 H
-0.3862 -2.1090 5.3190 H
1.4429 -2.9826 1.5534 As
-2.8680 -3.5226 2.0358 As
```

## Properties
Total energy = -7.505 eV per atom


# 2
VASP calculation (GGA-PBE) on LaHgPt2 after structural relaxation.

Structure (POSCAR):
```
LaHgPt2
1.0
3.7314 0.0000 0.0000
0.0000 3.7396 -0.0106
0.0000 3.7521 6.1861
Pt Hg La
2 1 1
Cartesian
0.0000 3.7452 2.9772 Pt
0.0000 3.7402 0.0999 Pt
1.8657 1.8729 1.5439 Hg
1.8657 5.6188 4.6316 La
```

## Properties
Formation energy = -0.62 eV per atom


# 3
VASP calculation (GGA-PBE) on PtSe2F2 after structural relaxation.

Structure (POSCAR):
```
PtSe2F2
1.0
-0.5437 -3.2468 5.3393
6.1069 0.8603 1.1450
-0.8904 3.5599 2.0741
F Se Pt
4 4 2
Cartesian
3.9418 1.6381 3.1639 F
3.7957 0.0324 5.8571 F
0.7310 -0.4646 5.3945 F
0.8772 1.1411 2.7013 F
3.3785 -2.2802 5.3640 Se
2.1848 -0.1063 1.1204 Se
5.1084 -0.4514 2.9677 Se
0.4548 -1.9351 3.5167 Se
2.7816 -1.1933 3.2422 Pt
0.0000 0.0000 0.0000 Pt
```

## Properties
Energy relative to the lowest polymorph listed for this composition = 0 meV per atom
Uncorrected formation energy = -2.09 eV/f.u.


# 4
VASP calculation (GGA-PBE) on FeHSe2Br after structural relaxation.

Structure (POSCAR):
```
FeHSe2Br
1.0
-0.9903 2.5851 -2.7428
2.0698 -1.9970 -2.6295
-5.2741 -3.5580 -1.4493
Se H Br Fe
2 1 1 1
Cartesian
1.0349 -0.9985 -1.3148 Se
-0.4951 1.2926 -1.3714 Se
0.0000 0.0000 0.0000 H
-2.6370 -1.7790 -0.7246 Br
-2.0973 -1.4850 -3.4108 Fe
```

## Properties
Energy relative to the lowest polymorph listed for this composition = 0 meV per atom


# 5
VASP calculation (GGA-PBE) on Si2IrW after structural relaxation.

Structure (POSCAR):
```
Si2IrW
1.0
-1.0765 0.1056 -2.7697
-0.5694 -4.9480 0.0327
-3.6557 0.4302 1.4373
Si Ir W
2 1 1
Cartesian
-0.8229 -2.4212 -1.3685 Si
0.0000 0.0000 0.0000 Si
-2.1126 -2.2589 0.7350 Ir
-2.3661 0.2679 -0.6662 W
```

## Properties
Energy relative to the lowest polymorph listed for this composition = 353 meV per atom
Uncorrected formation energy = 0.20 eV/f.u.


# 6
VASP calculation (GGA-PBE) on Tm6PC2Se3 after structural relaxation.

Structure (POSCAR):
```
Tm6PC2Se3
1.0
3.7891 0.0000 0.0000
0.0000 7.8694 0.1434
-1.8946 -2.4071 8.1427
C Tm P Se
2 6 1 3
Cartesian
1.8946 3.6257 5.4784 C
0.0000 1.8366 2.8078 C
0.0000 1.8853 0.3424 Tm
1.8946 3.5270 2.9920 Tm
0.0000 5.3054 5.5353 Tm
1.8946 0.1570 2.7509 Tm
1.8946 3.5770 7.9438 Tm
0.0000 1.9353 5.2942 Tm
1.8946 0.0000 0.0000 P
0.0000 5.7686 2.7612 Se
1.8946 -0.3063 5.5250 Se
1.8946 3.9347 0.0717 Se
```

## Properties
Uncorrected formation energy = -16.55 eV/f.u.


# 7
VASP calculation (GGA-PBE) on Dy4SbPbN after structural relaxation.

Structure (POSCAR):
```
Dy4SbPbN
1.0
-5.2090 3.7746 -1.7006
0.3246 -2.3497 -6.2094
-2.3620 -7.8428 2.8444
Sb Dy Pb N
2 8 2 2
Cartesian
-3.8125 -5.2564 0.0109 Sb
-3.4340 -1.1615 -5.0766 Sb
-0.6767 -2.8656 -4.2877 Dy
-3.7855 -2.0341 0.5719 Dy
-1.0187 -5.0963 -1.6825 Dy
-1.1810 -3.9214 1.4222 Dy
-3.8230 -6.6384 -3.0244 Dy
-3.4235 0.2206 -2.0413 Dy
-3.6232 -3.2089 -2.5328 Dy
-6.5698 -3.5523 -0.7780 Dy
-0.9529 -1.8274 -1.1372 Pb
-6.2936 -4.5905 -3.9285 Pb
-5.0149 -1.6878 -1.4023 N
-2.2316 -4.7301 -3.6634 N
```

## Properties
Uncorrected formation energy = -6.73 eV/f.u.


# 8
VASP calculation (GGA-PBE) on TiCuI2N after structural relaxation.

Structure (POSCAR):
```
TiCuI2N
1.0
-2.5557 4.4624 -2.0854
-4.4604 -3.0934 -1.1532
-1.3678 0.7495 3.2800
I N Ti Cu
2 1 1 1
Cartesian
-1.2778 2.2312 -1.0427 I
-2.2302 -1.5467 -0.5766 I
-0.6839 0.3747 1.6400 N
-4.1919 1.0593 0.0207 Ti
0.0000 0.0000 0.0000 Cu
```

## Properties
Energy relative to the lowest polymorph listed for this composition = 686 meV per atom
Uncorrected formation energy = 4.10 eV/f.u.


Per-record density of states at the Fermi level, states/eV per cell: 11.47 1.21 6.04 7.90 2.35 2.34 12.36 5.46